PBE Pm2NdTm, optimized geometry; density of states at the Fermi level = 2.53 states/eV per atom; uncorrected energy = -4.547 eV/atom; energy above the lowest structure with this stoichiometry = 123 meV per atom
1.0
5.7588 0.0000 0.0000
2.8794 4.9873 0.0000
2.8794 1.6624 4.7020
Pm Nd Tm
2 1 1
Direct
0.2500 0.2500 0.2500
0.7500 0.7500 0.7500
0.5000 0.5000 0.5000
0.0000 0.0000 0.0000